--- one ---
Computed, not measured: crystalline LiMnP2H2O8 at its relaxed geometry at the PBE+U level of DFT.

The structure in POSCAR format:
```
LiMnP2H2O8
1.0
-8.634 -0.543 1.088
4.361 -1.191 8.053
1.809 8.765 -3.225
H Li O Mn P
8 4 32 4 8
direct
0.067 0.475 0.159
0.557 0.952 0.240
0.095 0.201 0.925
0.670 0.276 0.075
0.408 0.316 0.841
0.325 0.875 0.005
0.820 0.870 0.995
0.817 0.711 0.760
0.721 0.890 0.634
0.587 0.256 0.366
0.205 0.386 0.612
0.093 0.774 0.388
0.408 0.534 0.259
0.336 0.157 0.161
0.718 0.509 0.368
0.004 0.145 0.442
0.330 0.973 0.899
0.976 0.596 0.965
0.788 0.742 0.940
0.062 0.703 0.558
0.675 0.996 0.839
0.511 0.632 0.035
0.849 0.140 0.632
0.348 0.802 0.060
0.435 0.726 0.539
0.245 0.394 0.402
0.396 0.187 0.461
0.665 0.065 0.334
0.649 0.275 0.741
0.145 0.575 0.279
0.133 0.113 0.877
0.762 0.857 0.408
0.079 0.886 0.213
0.970 0.292 0.989
0.169 0.462 0.848
0.343 0.992 0.598
0.822 0.615 0.152
0.367 0.296 0.721
0.756 0.236 0.123
0.481 0.303 0.011
0.854 0.449 0.592
0.830 0.730 0.666
0.931 0.074 0.101
0.366 0.673 0.787
0.905 0.372 0.786
0.160 0.138 0.287
0.619 0.586 0.214
0.372 0.851 0.713
0.315 0.555 0.371
0.829 0.050 0.452
0.877 0.598 0.548
0.830 0.149 0.007
0.914 0.707 0.067
0.444 0.184 0.629
0.323 0.142 0.993
0.348 0.640 0.933
```

=====

--- two ---
Computed, not measured: crystalline LiMnP2H2O8 at its relaxed geometry at the PBE+U level of DFT.

The structure in POSCAR format:
```
LiMnP2H2O8
1.0
5.285 0.000 0.000
0.000 7.011 0.000
0.000 0.000 8.000
Mn O Li P H
2 16 2 4 4
direct
0.233 0.000 0.500
0.767 0.500 0.000
0.508 0.308 0.961
0.021 0.300 0.954
0.727 0.053 0.214
0.979 0.800 0.546
0.021 0.700 0.046
0.725 0.583 0.725
0.273 0.447 0.714
0.727 0.947 0.786
0.725 0.417 0.275
0.492 0.808 0.539
0.275 0.917 0.225
0.508 0.692 0.039
0.273 0.553 0.286
0.275 0.083 0.775
0.979 0.200 0.454
0.492 0.192 0.461
0.923 0.000 0.000
0.077 0.500 0.500
0.270 0.285 0.852
0.270 0.715 0.148
0.730 0.215 0.352
0.730 0.785 0.648
0.453 0.505 0.708
0.547 0.005 0.792
0.453 0.495 0.292
0.547 0.995 0.208
```

=====

Stability check: which of them is most stable? two.

=====

--- one ---
Computed, not measured: crystalline LiMnPH2O5 at its relaxed geometry at the PBE+U level of DFT.

The structure in POSCAR format:
```
LiMnPH2O5
1.0
5.081 -0.474 -0.002
-0.562 5.735 -0.001
-0.005 0.010 8.205
O P H Li Mn
10 2 4 2 2
direct
0.887 0.958 0.164
0.333 0.236 0.191
0.314 0.808 0.108
0.812 0.502 0.237
0.832 0.737 0.809
0.386 0.458 0.835
0.695 0.404 0.601
0.196 0.903 0.399
0.311 0.002 0.763
0.814 0.309 0.892
0.181 0.978 0.219
0.680 0.478 0.781
0.137 0.888 0.775
0.781 0.663 0.206
0.638 0.387 0.225
0.280 0.163 0.794
0.445 0.106 0.540
0.945 0.606 0.461
0.136 0.457 0.047
0.635 0.957 0.953
```

=====

--- two ---
Computed, not measured: crystalline LiMnPH2O5 at its relaxed geometry at the PBE+U level of DFT.

The structure in POSCAR format:
```
LiMnPH2O5
1.0
4.850 0.000 0.000
0.000 5.662 0.000
0.000 0.000 8.398
H O Li P Mn
4 10 2 2 2
direct
0.662 0.362 0.211
0.662 0.638 0.211
0.162 0.138 0.789
0.162 0.862 0.789
0.238 0.000 0.402
0.388 0.500 0.821
0.842 0.280 0.859
0.888 0.000 0.179
0.342 0.780 0.141
0.342 0.220 0.141
0.738 0.500 0.598
0.842 0.720 0.859
0.287 0.000 0.776
0.787 0.500 0.224
0.977 0.500 0.431
0.477 0.000 0.569
0.196 0.000 0.222
0.696 0.500 0.778
0.625 0.000 0.978
0.125 0.500 0.022
```

=====

Stability check: which of them is most stable? one.

=====

--- one ---
Computed, not measured: crystalline LiMnPHO5 at its relaxed geometry at the PBE+U level of DFT.

The structure in POSCAR format:
```
LiMnPHO5
1.0
-5.097 -0.840 -0.285
1.785 -2.469 -4.638
2.589 -3.930 5.523
Li O H P Mn
2 10 2 2 2
direct
0.748 0.386 0.824
0.252 0.614 0.176
0.643 0.743 0.933
0.291 0.775 0.614
0.157 0.961 0.277
0.843 0.039 0.723
0.688 0.667 0.340
0.312 0.333 0.660
0.123 0.644 0.880
0.709 0.225 0.386
0.357 0.257 0.067
0.877 0.356 0.120
0.639 0.920 0.656
0.361 0.080 0.344
0.671 0.372 0.235
0.329 0.628 0.765
0.000 0.000 0.500
0.000 0.000 0.000
```

=====

--- two ---
Computed, not measured: crystalline LiMnPHO5 at its relaxed geometry at the PBE+U level of DFT.

The structure in POSCAR format:
```
LiMnPHO5
1.0
4.950 0.310 0.605
-0.409 5.718 -0.564
-1.116 -3.848 7.281
O Mn P Li H
10 2 2 2 2
direct
0.821 0.617 0.733
0.279 0.374 0.651
0.326 0.881 0.664
0.179 0.383 0.267
0.108 0.518 0.947
0.639 0.014 0.128
0.674 0.119 0.336
0.892 0.482 0.053
0.721 0.626 0.349
0.361 0.986 0.872
0.500 0.500 0.500
0.000 0.000 0.000
0.980 0.357 0.703
0.020 0.643 0.297
0.499 0.671 0.888
0.501 0.329 0.112
0.633 0.953 0.342
0.367 0.047 0.658
```

=====

--- three ---
Computed, not measured: crystalline LiMnPHO5 at its relaxed geometry at the PBE+U level of DFT.

The structure in POSCAR format:
```
LiMnPHO5
1.0
5.829 -0.199 0.949
-1.392 4.952 0.322
-0.635 -2.048 6.772
P O Mn H Li
2 10 2 2 2
direct
0.382 0.536 0.897
0.618 0.464 0.103
0.255 0.244 0.794
0.742 0.186 0.539
0.233 0.726 0.978
0.258 0.814 0.461
0.434 0.285 0.246
0.179 0.279 0.253
0.767 0.274 0.022
0.821 0.721 0.747
0.745 0.756 0.206
0.566 0.715 0.754
0.000 0.000 0.500
0.000 0.000 0.000
0.209 0.619 0.397
0.791 0.381 0.603
0.463 0.002 0.671
0.537 0.998 0.329
```

=====

Stability check: which of them is most stable? one.

=====

--- one ---
Computed, not measured: crystalline LiMnP3HO10 at its relaxed geometry at the PBE+U level of DFT.

The structure in POSCAR format:
```
LiMnP3HO10
1.0
6.324 -0.057 0.004
0.664 6.201 -0.219
2.032 1.634 6.024
O P Li Mn H
10 3 1 1 1
direct
0.659 0.646 0.924
0.721 0.383 0.611
0.992 0.305 0.910
0.694 0.007 0.995
0.344 0.325 0.998
0.624 0.688 0.317
0.311 0.821 0.147
0.582 0.288 0.314
0.317 0.463 0.605
0.138 0.688 0.894
0.192 0.453 0.863
0.574 0.435 0.465
0.568 0.791 0.089
0.015 0.990 0.851
0.660 0.331 0.964
0.243 0.751 0.054
```

=====

--- two ---
Computed, not measured: crystalline LiMnP3HO10 at its relaxed geometry at the PBE+U level of DFT.

The structure in POSCAR format:
```
LiMnP3HO10
1.0
0.621 -6.055 1.637
5.495 0.777 2.989
-1.077 -0.502 6.422
O H Mn P Li
10 1 1 3 1
direct
0.597 0.679 0.342
0.321 0.403 0.658
0.990 0.301 0.998
0.680 0.644 0.943
0.699 0.010 0.002
0.314 0.816 0.126
0.356 0.320 0.057
0.612 0.259 0.368
0.741 0.388 0.632
0.184 0.686 0.874
0.246 0.754 0.000
0.677 0.323 0.000
0.574 0.426 0.500
0.206 0.435 0.909
0.565 0.794 0.091
0.872 0.128 0.500
```

=====

Stability check: which of them is most stable? one.

=====

--- one ---
Computed, not measured: crystalline LiMnVP2H2O10 at its relaxed geometry at the PBE+U level of DFT.

The structure in POSCAR format:
```
LiMnVP2H2O10
1.0
-2.030 -3.316 3.922
1.116 -2.872 -4.583
6.506 -1.347 2.713
P O V H Li Mn
2 10 1 2 1 1
direct
0.020 0.457 0.679
0.104 0.456 0.265
0.367 0.159 0.867
0.906 0.380 0.449
0.947 0.353 0.094
0.414 0.152 0.662
0.777 0.800 0.368
0.309 0.640 0.640
0.328 0.360 0.294
0.628 0.878 0.231
0.682 0.784 0.053
0.857 0.639 0.727
0.584 0.520 0.514
0.191 0.726 0.267
0.385 0.963 0.638
0.609 0.414 0.035
0.966 0.046 0.893
```

=====

--- two ---
Computed, not measured: crystalline LiMnVP2H2O10 at its relaxed geometry at the PBE+U level of DFT.

The structure in POSCAR format:
```
LiMnVP2H2O10
1.0
0.352 3.883 -3.982
-5.094 0.868 1.378
6.124 4.359 2.704
O H P V Mn Li
10 2 2 1 1 1
direct
0.972 0.216 0.357
0.771 0.369 0.742
0.218 0.155 0.770
0.406 0.928 0.654
0.231 0.756 0.900
0.780 0.227 0.102
0.564 0.848 0.238
0.224 0.416 0.165
0.470 0.396 0.528
0.873 0.730 0.427
0.435 0.689 0.219
0.247 0.252 0.917
0.958 0.409 0.262
0.286 0.636 0.674
0.709 0.092 0.505
0.837 0.762 0.000
0.419 0.169 0.215
```

=====

--- three ---
Computed, not measured: crystalline LiMnVP2H2O10 at its relaxed geometry at the PBE+U level of DFT.

The structure in POSCAR format:
```
LiMnVP2H2O10
1.0
5.331 0.001 -0.017
0.920 10.485 0.106
-2.777 -2.300 6.526
O Li Mn P H V
20 2 2 4 4 2
direct
0.933 0.930 0.198
0.289 0.119 0.224
0.303 0.360 0.456
0.711 0.381 0.276
0.946 0.426 0.700
0.054 0.074 0.800
0.067 0.570 0.302
0.697 0.140 0.044
0.850 0.838 0.471
0.355 0.814 0.430
0.319 0.863 0.983
0.359 0.310 0.932
0.145 0.164 0.524
0.681 0.637 0.517
0.723 0.871 0.776
0.150 0.662 0.029
0.855 0.336 0.976
0.641 0.190 0.568
0.645 0.686 0.070
0.277 0.629 0.724
0.567 0.015 0.131
0.433 0.485 0.369
0.997 0.998 0.993
0.003 0.502 0.507
0.340 0.213 0.446
0.657 0.787 0.550
0.343 0.713 0.950
0.660 0.287 0.054
0.012 0.997 0.671
0.976 0.499 0.168
0.024 0.001 0.332
0.988 0.503 0.829
0.000 0.750 0.250
0.000 0.250 0.750
```

=====

Stability check: which of them is most stable? three.